{
  "formula": "NiAgN2",
  "functional": "PBE",
  "state": "optimized geometry",
  "lattice": [[0.000, 2.719, 2.719], [2.719, 0.000, 2.719], [2.719, 2.719, 0.000]],
  "species": ["Ni", "Ag", "N", "N"],
  "frac_coords": [[0.000, 0.000, 0.000], [0.500, 0.500, 0.500], [0.250, 0.250, 0.250], [0.750, 0.750, 0.750]],
  "raw_formation_energy_ev_per_atom": 1.6125,
  "vol_a3_per_atom": 10.1,
  "sg": "Fm-3m (225)",
  "dos_ef_per_ev_cell": 3.1,
  "relative_energy_ev_per_atom": 0.792
}